# 1
Sr2CdCu PBE relaxed; formation energy from the elements = -0.1362 eV/atom; symmetry = No. 10; spin magnetization = 0.000 μB/atom
1.0
3.885 0.000 0.000
0.000 3.919 0.021
0.000 3.914 8.009
Cu Cd Sr
1 1 2
Direct
0.500 0.750 0.750 Cu
0.500 0.250 0.250 Cd
0.000 0.017 0.983 Sr
0.000 0.483 0.517 Sr


# 2
SrEu2Th PBE relaxed; formation energy from the elements = 0.1467 eV/atom; symmetry = No. 123; spin magnetization = 3.722 μB/atom
1.0
3.782 0.000 0.000
0.000 3.782 0.000
0.000 0.000 11.317
Sr Eu Th
1 2 1
Direct
0.500 0.500 0.500 Sr
0.000 0.000 0.221 Eu
0.000 0.000 0.779 Eu
0.500 0.500 0.000 Th


# 3
AcLa2HgSe5 PBE relaxed; symmetry = No. 36; energy relative to the elements, uncorrected = -1570 meV/atom; spin magnetization = 0.000 μB/atom
1.0
-1.749 -1.032 3.801
8.702 -2.713 0.824
3.301 12.045 4.790
Ac Se Hg La
2 10 2 4
Direct
0.815 0.631 0.494 Ac
0.185 0.369 0.994 Ac
0.032 0.064 0.105 Se
0.505 0.009 0.781 Se
0.699 0.399 0.825 Se
0.358 0.716 0.998 Se
0.700 0.399 0.163 Se
0.301 0.601 0.325 Se
0.300 0.601 0.663 Se
0.642 0.284 0.498 Se
0.968 0.936 0.605 Se
0.495 0.991 0.281 Se
0.469 0.937 0.478 Hg
0.531 0.063 0.978 Hg
0.127 0.253 0.681 La
0.124 0.249 0.301 La
0.876 0.751 0.801 La
0.873 0.747 0.181 La


# 4
Zr2MnW PBE relaxed; formation energy from the elements = 0.2415 eV/atom; symmetry = No. 216; spin magnetization = 0.002 μB/atom
1.0
4.607 0.000 0.000
2.303 3.989 0.000
2.303 1.330 3.761
Zr W Mn
2 1 1
Direct
0.250 0.250 0.250 Zr
0.000 0.000 0.000 Zr
0.750 0.750 0.750 W
0.500 0.500 0.500 Mn


# 5
Nd9ErIn2 PBE relaxed; formation energy from the elements = -0.1739 eV/atom; symmetry = No. 123; spin magnetization = 0.000 μB/atom
1.0
-3.691 2.542 2.239
-3.065 -1.096 -3.809
-4.414 -12.774 7.227
Nd In Er
9 2 1
Direct
0.000 0.500 0.828 Nd
0.500 0.500 0.663 Nd
0.500 0.000 0.828 Nd
0.500 0.500 0.337 Nd
0.500 0.500 0.000 Nd
0.000 0.500 0.172 Nd
0.500 0.000 0.500 Nd
0.500 0.000 0.172 Nd
0.000 0.500 0.500 Nd
0.000 0.000 0.661 In
0.000 0.000 0.339 In
0.000 0.000 0.000 Er


# 6
YTm2Ni2 PBE relaxed; formation energy from the elements = -0.3064 eV/atom; symmetry = No. 63; spin magnetization = 0.000 μB/atom
1.0
-0.247 -3.634 -0.004
3.485 -0.240 2.918
-8.269 2.375 10.070
Ni Y Tm
4 2 4
Direct
0.156 0.250 0.312 Ni
0.844 0.750 0.688 Ni
0.527 0.750 0.053 Ni
0.473 0.250 0.947 Ni
0.635 0.750 0.270 Y
0.365 0.250 0.730 Y
0.051 0.250 0.101 Tm
0.949 0.750 0.899 Tm
0.730 0.250 0.460 Tm
0.270 0.750 0.540 Tm